(i)
## CaLaTe3 (PBE)

Data for an optimized crystal structure of CaLaTe3.

Results
The total magnetization comes out at 0.00 Bohr magnetons per cell.

abc: 5.712 5.712 5.712
angles: 90.00 90.00 90.00
Space group Pm-3m (No. 221)
One atom of each set of equivalent atoms:
Ca1 0.000 0.000 0.000 x1
La1 0.500 0.500 0.500 x1
Te1 0.000 0.000 0.500 x3

(ii)
## CaLaTe3 (PBE)

Data for an optimized crystal structure of CaLaTe3.

Results
The total magnetization comes out at 0.00 Bohr magnetons per cell.

abc: 6.086 6.086 6.086
angles: 90.00 90.00 90.00
Space group Pm-3m (No. 221)
One atom of each set of equivalent atoms:
Ca1 0.000 0.000 0.000 x1
La1 0.500 0.500 0.500 x1
Te1 0.000 0.500 0.500 x3

Most stable one: (ii), least stable one: (i).

(i)
## CaLaTi (PBE)

Data for an optimized crystal structure of CaLaTi.

Results
The total magnetization comes out at 0.00 Bohr magnetons per cell.

abc: 3.685 3.685 14.023
angles: 90.00 90.00 90.00
Space group P4/nmm (No. 129, origin choice 2)
One atom of each set of equivalent atoms:
Ca1 0.250 0.250 0.104 x2
La1 0.250 0.250 0.682 x2
Ti1 0.250 0.250 0.463 x2

(ii)
## CaLaTi (PBE)

Data for an optimized crystal structure of CaLaTi.

Results
The total magnetization comes out at 1.45 Bohr magnetons per cell.

abc: 5.701 3.573 9.352
angles: 90.00 103.33 90.00
Space group P2_1/m (No. 11)
One atom of each set of equivalent atoms:
Ca1 0.220 0.250 0.421 x2
La1 0.375 0.750 0.834 x2
Ti1 0.103 0.750 0.103 x2

Most stable one: (i), least stable one: (ii).

(i)
## CaLaTi2 (PBE)

Data for an optimized crystal structure of CaLaTi2.

Results
The total magnetization comes out at 7.14 Bohr magnetons per cell.

abc: 7.459 7.459 7.459
angles: 90.00 90.00 90.00
Space group Fm-3m (No. 225)
One atom of each set of equivalent atoms:
Ca1 0.000 0.000 0.000 x4
La1 0.000 0.000 0.500 x4
Ti1 0.250 0.250 0.250 x8

(ii)
## CaLaTi2 (PBE)

Data for an optimized crystal structure of CaLaTi2.

Results
The total magnetization comes out at 11.65 Bohr magnetons per cell.

abc: 4.406 4.406 21.849
angles: 90.00 90.00 90.00
Space group I-42d (No. 122)
One atom of each set of equivalent atoms:
Ca1 0.000 0.000 0.000 x4
La1 0.000 0.000 0.500 x4
Ti1 0.237 0.250 0.625 x8

Most stable one: (i), least stable one: (ii).

(i)
## CaLa3Ti (PBE)

Data for an optimized crystal structure of CaLa3Ti.

Results
The total magnetization comes out at 0.00 Bohr magnetons per cell.

abc: 5.723 5.723 5.723
angles: 90.00 90.00 90.00
Space group Pm-3m (No. 221)
One atom of each set of equivalent atoms:
Ca1 0.000 0.000 0.000 x1
La1 0.000 0.500 0.500 x3
Ti1 0.500 0.500 0.500 x1

(ii)
## CaLa3Ti (PBE)

Data for an optimized crystal structure of CaLa3Ti.

Results
The total magnetization comes out at 0.00 Bohr magnetons per cell.

abc: 5.718 5.718 5.718
angles: 90.00 90.00 90.00
Space group Pm-3m (No. 221)
One atom of each set of equivalent atoms:
Ca1 0.000 0.000 0.000 x1
La1 0.000 0.000 0.500 x3
Ti1 0.500 0.500 0.500 x1

Most stable one: (i), least stable one: (ii).